No. 1
Compound: Tm2Zn7Cu
Source: the Alexandria database
Functional: PBE-GGA
Structure: relaxed

abc: 4.016 4.016 10.917
angles: 90.00 90.00 90.00
Atoms (fractional coordinates):
Tm 0.000 0.500 0.246
Tm 0.500 0.000 0.754
Zn 0.000 0.000 0.000
Zn 0.000 0.000 0.500
Zn 0.000 0.500 0.642
Zn 0.000 0.500 0.864
Zn 0.500 0.000 0.136
Zn 0.500 0.000 0.358
Zn 0.500 0.500 0.500
Cu 0.500 0.500 0.000

***

No. 2
Compound: Tm3Zn8Cu3
Source: the Alexandria database
Functional: PBE-GGA
Structure: relaxed

abc: 7.985 7.985 7.985
angles: 148.92 113.02 75.67
Atoms (fractional coordinates):
Tm 0.000 0.000 0.000
Tm 0.300 0.300 0.000
Tm 0.700 0.700 0.000
Zn 0.019 0.661 0.358
Zn 0.160 0.873 0.287
Zn 0.304 0.661 0.642
Zn 0.414 0.127 0.287
Zn 0.586 0.873 0.713
Zn 0.696 0.339 0.358
Zn 0.840 0.127 0.713
Zn 0.981 0.339 0.642
Cu 0.318 0.500 0.818
Cu 0.500 0.000 0.500
Cu 0.682 0.500 0.182

***

No. 3
Compound: TmZrCu3
Source: the Alexandria database
Functional: PBE-GGA
Structure: relaxed

abc: 12.686 12.686 4.225
angles: 90.00 90.00 164.95
Atoms (fractional coordinates):
Tm 0.075 0.925 0.750
Tm 0.925 0.075 0.250
Zr 0.211 0.789 0.250
Zr 0.789 0.211 0.750
Cu 0.324 0.676 0.250
Cu 0.379 0.621 0.750
Cu 0.476 0.524 0.750
Cu 0.524 0.476 0.250
Cu 0.621 0.379 0.250
Cu 0.676 0.324 0.750

***

No. 4
Compound: TmZrCu4
Source: the Alexandria database
Functional: PBE-GGA
Structure: relaxed

abc: 3.160 4.284 7.358
angles: 90.00 90.00 90.00
Atoms (fractional coordinates):
Tm 0.000 0.000 0.000
Zr 0.000 0.500 0.500
Cu 0.500 0.000 0.336
Cu 0.500 0.000 0.664
Cu 0.500 0.500 0.170
Cu 0.500 0.500 0.830

***

Which M_tot belongs to each record? In order, 0.0 0.0 0.0 0.0 μB per formula unit.
Which electronic total energy belongs to each record? In order, -24.53 -39.87 -52.66 -30.68 eV for the cell shown.